No. 1
AuBr3F | GGA-PBE | optimized geometry

Results
VASP energy (eV per cell): -7.4
E above lowest polymorph (eV/f.u.): 4.14
Space group: Pm-3m, No. 221
Uncorrected formation energy (eV/f.u.): 2.774

Unit cell a=4.945 b=4.945 c=4.945 alpha=90.00 beta=90.00 gamma=90.00
Fractional positions:
1 Au 0.500 0.500 0.500
2 Br 0.000 0.500 0.000
3 Br 0.000 0.000 0.500
4 Br 0.500 0.000 0.000
5 F 0.000 0.000 0.000

***

No. 2
Au2BrF | GGA-PBE | optimized geometry

Results
VASP energy (eV per cell): -21.0
E above lowest polymorph (eV/f.u.): 0.00
Space group: I-42d, No. 122
Uncorrected formation energy (eV/f.u.): -0.380

Unit cell a=4.632 b=4.632 c=8.557 alpha=74.30 beta=74.30 gamma=90.00
Fractional positions:
1 Au 0.565 0.125 0.250
2 Au 0.185 0.625 0.250
3 Au 0.375 0.435 0.750
4 Au 0.875 0.815 0.750
5 Br 0.000 0.000 0.000
6 Br 0.750 0.250 0.500
7 F 0.500 0.500 0.000
8 F 0.250 0.750 0.500

***

No. 3
Hg4AuBr2F | GGA-PBE | optimized geometry

Results
VASP energy (eV per cell): -25.0
Space group: C2/c, No. 15
Uncorrected formation energy (eV/f.u.): -2.791

Unit cell a=8.373 b=8.373 c=8.804 alpha=121.62 beta=121.62 gamma=79.27
Fractional positions:
1 Hg 0.172 0.720 0.945
2 Hg 0.780 0.328 0.555
3 Hg 0.220 0.672 0.445
4 Hg 0.828 0.280 0.055
5 Hg 0.754 0.748 0.980
6 Hg 0.752 0.746 0.520
7 Hg 0.248 0.254 0.480
8 Hg 0.246 0.252 0.020
9 Au 0.000 0.500 0.000
10 Au 0.000 0.500 0.500
11 Br 0.500 0.000 0.000
12 Br 0.500 0.000 0.500
13 Br 0.000 0.000 0.500
14 Br 0.500 0.500 0.000
15 F 0.500 0.500 0.500
16 F 0.000 0.000 0.000

***

- Which of these has the lowest uncorrected formation energy?
  Hg4AuBr2F

***

Copy entry 3 word for word.
Hg4AuBr2F | GGA-PBE | optimized geometry

Results
VASP energy (eV per cell): -25.0
Space group: C2/c, No. 15
Uncorrected formation energy (eV/f.u.): -2.791

Unit cell a=8.373 b=8.373 c=8.804 alpha=121.62 beta=121.62 gamma=79.27
Fractional positions:
1 Hg 0.172 0.720 0.945
2 Hg 0.780 0.328 0.555
3 Hg 0.220 0.672 0.445
4 Hg 0.828 0.280 0.055
5 Hg 0.754 0.748 0.980
6 Hg 0.752 0.746 0.520
7 Hg 0.248 0.254 0.480
8 Hg 0.246 0.252 0.020
9 Au 0.000 0.500 0.000
10 Au 0.000 0.500 0.500
11 Br 0.500 0.000 0.000
12 Br 0.500 0.000 0.500
13 Br 0.000 0.000 0.500
14 Br 0.500 0.500 0.000
15 F 0.500 0.500 0.500
16 F 0.000 0.000 0.000